No. 1
Density functional theory data (SCAN) for TiSb2AuI at its PBEsol-relaxed geometry.

Cell: 5.2647 5.2647 5.4933 Å, 90.00 90.00 90.00°
Last column: nearest neighbours and their distance in Å.
Positions (direct):
Ti1 0.0000 0.0000 0.0000  4 I 3.72, 8 Sb 3.80
Sb1 0.0000 0.5000 0.5000  2 Au 2.63
Sb2 0.5000 0.0000 0.5000  2 Au 2.63
Au1 0.5000 0.5000 0.5000  4 Sb 2.63, 2 I 2.75
I1 0.5000 0.5000 0.0000  2 Au 2.75

Computed properties:
The value obtained for the spin magnetization is 1.64 μB per cell. Its uncorrected formation energy is 0.690 eV/atom.


No. 2
Density functional theory data (SCAN) for ZnSbAuI2 at its PBEsol-relaxed geometry.

Cell: 5.5853 5.5853 5.3443 Å, 90.00 90.00 90.00°
Last column: nearest neighbours and their distance in Å.
Positions (direct):
Zn1 0.0000 0.0000 0.0000  8 I 3.87, 4 Sb 3.95
Sb1 0.5000 0.5000 0.0000  2 Au 2.67
Au1 0.5000 0.5000 0.5000  2 Sb 2.67, 4 I 2.79
I1 0.0000 0.5000 0.5000  2 Au 2.79
I2 0.5000 0.0000 0.5000  2 Au 2.79

Computed properties:
The value obtained for the spin magnetization is 1.02 μB per cell. Its uncorrected formation energy is 0.488 eV/atom.


No. 3
Density functional theory data (SCAN) for Au3SeI at its PBEsol-relaxed geometry.

Cell: 5.1812 5.1812 5.1812 Å, 90.00 90.00 90.00°
Last column: nearest neighbours and their distance in Å.
Positions (direct):
Au1 0.0000 0.0000 0.5000  2 I 2.59
Au2 0.0000 0.5000 0.0000  2 I 2.59
Au3 0.5000 0.0000 0.0000  2 I 2.59
Se1 0.5000 0.5000 0.5000  12 Au 3.66
I1 0.0000 0.0000 0.0000  6 Au 2.59

Computed properties:
The value obtained for the spin magnetization is 0.99 μB per cell. Its uncorrected formation energy is 1.044 eV/atom.